1.
# AsPb2N2 PBE-GGA optimized geometry
# - E_tot: -5.65 eV/atom
# - Formation energy without anion corrections: 0.09 eV/atom
data_AsPb2N2
_chemical_formula_sum 'As2 Pb4 N4'
_cell_length_a 5.388
_cell_length_b 5.278
_cell_length_c 12.048
_cell_angle_alpha 90.00
_cell_angle_beta 94.36
_cell_angle_gamma 90.00
_symmetry_space_group_name_H-M 'C 1 2/m 1'
_symmetry_Int_Tables_number 12
_symmetry_space_group_name_Hall '-C 2y'
loop_
_atom_site_label
_atom_site_type_symbol
_atom_site_fract_x
_atom_site_fract_y
_atom_site_fract_z
As1 As 0.000 0.000 0.000
Pb1 Pb 0.023 0.500 0.133
N1 N 0.074 0.500 0.470


2.
# Tl2PAu PBE-GGA optimized geometry
# - E_tot: -3.02 eV/atom
# - E above lowest polymorph: 368 meV per atom
data_Tl2PAu
_chemical_formula_sum 'Tl2 P1 Au1'
_cell_length_a 5.487
_cell_length_b 5.487
_cell_length_c 3.121
_cell_angle_alpha 90.00
_cell_angle_beta 90.00
_cell_angle_gamma 90.00
_symmetry_space_group_name_H-M 'P 4/m m m'
_symmetry_Int_Tables_number 123
_symmetry_space_group_name_Hall '-P 4 2'
loop_
_atom_site_label
_atom_site_type_symbol
_atom_site_fract_x
_atom_site_fract_y
_atom_site_fract_z
Tl1 Tl 0.000 0.500 0.000
P1 P 0.000 0.000 0.500
Au1 Au 0.500 0.500 0.500


3.
# TlP2Br PBE-GGA optimized geometry
# - E_tot: -3.19 eV/atom
# - Formation energy without anion corrections: 0.53 eV/atom
# - E above lowest polymorph: 648 meV per atom
data_TlP2Br
_chemical_formula_sum 'Tl2 P4 Br2'
_cell_length_a 5.672
_cell_length_b 5.672
_cell_length_c 5.778
_cell_angle_alpha 90.00
_cell_angle_beta 90.00
_cell_angle_gamma 90.00
_symmetry_space_group_name_H-M 'I 4/m m m'
_symmetry_Int_Tables_number 139
_symmetry_space_group_name_Hall '-I 4 2'
loop_
_atom_site_label
_atom_site_type_symbol
_atom_site_fract_x
_atom_site_fract_y
_atom_site_fract_z
Tl1 Tl 0.000 0.000 0.000
P1 P 0.000 0.500 0.000
Br1 Br 0.000 0.000 0.500


4.
# Ta5Mo3 PBE-GGA optimized geometry
# - E_tot: -11.60 eV/atom
# - E above lowest polymorph: 44 meV per atom
data_Ta5Mo3
_chemical_formula_sum 'Ta15 Mo9'
_cell_length_a 4.6039
_cell_length_b 4.6039
_cell_length_c 22.5307
_cell_angle_alpha 90.00
_cell_angle_beta 90.00
_cell_angle_gamma 120.00
_symmetry_space_group_name_H-M 'R -3 m'
_symmetry_Int_Tables_number 166
_symmetry_space_group_name_Hall '-R 3 2"'
loop_
_atom_site_label
_atom_site_type_symbol
_atom_site_fract_x
_atom_site_fract_y
_atom_site_fract_z
Ta1 Ta 0.0000 0.0000 0.0000
Ta2 Ta 0.0000 0.0000 0.1272
Ta3 Ta 0.0000 0.0000 0.3773
Mo1 Mo 0.0000 0.0000 0.2514
Mo2 Mo 0.0000 0.0000 0.5000


5.
# Re2Os3 PBE-GGA optimized geometry
# - E_tot: -11.58 eV/atom
# - E above lowest polymorph: 71 meV per atom
data_Re2Os3
_chemical_formula_sum 'Re16 Os24'
_cell_length_a 9.443
_cell_length_b 13.132
_cell_length_c 4.786
_cell_angle_alpha 90.00
_cell_angle_beta 90.00
_cell_angle_gamma 90.00
_symmetry_space_group_name_H-M 'F d d 2'
_symmetry_Int_Tables_number 43
_symmetry_space_group_name_Hall 'F 2 -2d'
loop_
_atom_site_label
_atom_site_type_symbol
_atom_site_fract_x
_atom_site_fract_y
_atom_site_fract_z
Re1 Re 0.034 0.204 0.000
Os1 Os 0.000 0.000 0.036
Os2 Os 0.048 0.098 0.518


6.
# Sm3GdRh PBE-GGA optimized geometry
# - E_tot: -7.29 eV/atom
data_Sm3GdRh
_chemical_formula_sum 'Sm3 Gd1 Rh1'
_cell_length_a 5.518
_cell_length_b 5.518
_cell_length_c 5.518
_cell_angle_alpha 90.00
_cell_angle_beta 90.00
_cell_angle_gamma 90.00
_symmetry_space_group_name_H-M 'P m -3 m'
_symmetry_Int_Tables_number 221
_symmetry_space_group_name_Hall '-P 4 2 3'
loop_
_atom_site_label
_atom_site_type_symbol
_atom_site_fract_x
_atom_site_fract_y
_atom_site_fract_z
Sm1 Sm 0.000 0.000 0.500
Gd1 Gd 0.500 0.500 0.500
Rh1 Rh 0.000 0.000 0.000